Compound: Pm2Sm3TmSe6
Source: Alexandria
Functional: PBE-GGA
Structure: optimized geometry

Geometry as POSCAR:
```
Pm2Sm3TmSe6
1.0
9.047 -2.068 0.000
9.047 2.068 0.000
-1.895 0.000 8.142
Pm Sm Tm Se
2 3 1 6
Direct
0.169 0.169 0.337
0.831 0.831 0.663
0.171 0.171 0.834
0.500 0.500 0.500
0.829 0.829 0.166
0.500 0.500 0.000
0.002 0.002 0.762
0.335 0.335 0.416
0.339 0.339 0.921
0.661 0.661 0.079
0.665 0.665 0.584
0.998 0.998 0.238
```

Computed properties:
ρ   7.5 Mg/m³
Magnetization   0.00 μB per formula unit
Raw total energy   -0.2162 Ha/atom
Space-group type   C2/m

Compound: AcSbH2Pd2
Source: Alexandria
Functional: PBE-GGA
Structure: optimized geometry

Geometry as POSCAR:
```
AcSbH2Pd2
1.0
5.915 0.000 0.000
0.000 5.874 0.000
-1.574 0.000 6.363
Ac Sb H Pd
2 2 4 4
Direct
0.207 0.250 0.327
0.793 0.750 0.673
0.289 0.750 0.131
0.711 0.250 0.869
0.137 0.250 0.719
0.271 0.750 0.620
0.729 0.250 0.380
0.863 0.750 0.281
0.312 0.501 0.788
0.312 0.999 0.788
0.688 0.001 0.212
0.688 0.499 0.212
```

Computed properties:
ρ   8.5 Mg/m³
Magnetization   0.00 μB per formula unit
Raw total energy   -0.1735 Ha/atom
Space-group type   P2_1/m

Compound: Tb2PrSm
Source: Alexandria
Functional: PBE-GGA
Structure: optimized geometry

Geometry as POSCAR:
```
Tb2PrSm
1.0
1.815 1.048 11.744
-1.815 1.048 11.744
0.000 -2.095 11.744
Tb Pr Sm
2 1 1
Direct
0.000 0.000 0.000
0.169 0.169 0.169
0.751 0.751 0.751
0.584 0.584 0.584
```

Computed properties:
ρ   7.5 Mg/m³
Offset from the most stable computed form   20.7 meV per atom
Magnetization   0.00 μB per formula unit
Raw total energy   -0.1717 Ha/atom
E_form   17 meV per atom
Space-group type   R3m